The following is a DFT calculation (GGA+U) of Na5WO4F2 after structural relaxation.

Calculated values
* total DFT energy (no corrections): -5.19 eV/atom
* density: 3.6 g/cm3

Cell lengths 6.7847, 9.7001, 5.5770 Å; angles 90.00, 90.00, 90.00 degrees
With the nearest neighbours (Å) after each atom.
Space group Amm2 (No. 38)
One atom of each set of equivalent atoms:
Na (0.0000, 0.0000, 0.0000) (multiplicity 2)  2 F 2.23, 2 O 2.24
Na (0.2477, 0.1852, 0.4970) (multiplicity 8)  2 F 2.28-2.42, 2 O 2.36-2.41
W (0.5000, 0.0000, 0.0211) (multiplicity 2)  4 O 1.89-1.90
O (0.2738, 0.0000, 0.2232) (multiplicity 4)  1 W 1.90
O (0.5000, 0.1650, 0.8411) (multiplicity 4)  1 W 1.89
F (0.0000, 0.1891, 0.7724) (multiplicity 4)  5 Na 2.23-2.42